# 1
Below is a relaxed structure of Sr4TeSe, with properties calculated at the PBE level.

abc: 6.9601 6.9601 6.9601
angles: 60.00 60.00 60.00
Element x y z (fractional)
Sr 0.1249 0.1249 0.1249
Sr 0.1249 0.1249 0.6252
Sr 0.1249 0.6252 0.1249
Sr 0.6252 0.1249 0.1249
Te 0.7500 0.7500 0.7500
Se 0.5000 0.5000 0.5000

Properties
- E: -2.39 eV per atom
- Formation energy (no corrections): -0.99 eV/f.u.

# 2
Below is a relaxed structure of SrTl2TeSe4, with properties calculated at the PBE level.

abc: 8.8839 8.8839 8.8839
angles: 121.09 119.18 89.78
Element x y z (fractional)
Sr 0.0000 0.0000 0.0000
Sr 0.5000 0.0000 0.5000
Tl 0.0000 0.5000 0.5000
Tl 0.5000 0.0000 0.0000
Tl 0.5000 0.5000 0.0000
Tl 0.5000 0.5000 0.5000
Te 0.0000 0.0000 0.5000
Te 0.0000 0.5000 0.0000
Se 0.2116 0.2458 0.9658
Se 0.2200 0.7542 0.4658
Se 0.2265 0.2164 0.4899
Se 0.2265 0.7366 0.0101
Se 0.7735 0.2634 0.9899
Se 0.7735 0.7836 0.5101
Se 0.7800 0.2458 0.5342
Se 0.7884 0.7542 0.0342

Properties
- E: -3.57 eV per atom
- Formation energy (no corrections): -5.07 eV/f.u.

# 3
Below is a relaxed structure of SrYTeSe, with properties calculated at the PBE level.

abc: 8.0792 8.0792 8.0792
angles: 30.53 30.53 30.53
Element x y z (fractional)
Sr 0.0000 0.0000 0.0000
Y 0.1822 0.1822 0.1822
Te 0.4307 0.4307 0.4307
Se 0.5881 0.5881 0.5881

Properties
- E: -5.33 eV per atom
- Formation energy (no corrections): -6.56 eV/f.u.

# 4
Below is a relaxed structure of Sr2YTeSe, with properties calculated at the PBE level.

abc: 6.6469 6.6469 5.1513
angles: 90.00 90.00 90.00
Element x y z (fractional)
Sr 0.0000 0.5000 0.0000
Sr 0.5000 0.0000 0.0000
Y 0.0000 0.0000 0.0000
Te 0.5000 0.5000 0.5000
Se 0.0000 0.0000 0.5000

Properties
- E: -3.62 eV per atom
- Formation energy (no corrections): -1.65 eV/f.u.

# 5
Below is a relaxed structure of SrTh2Se5, with properties calculated at the PBE level.

abc: 8.8076 7.9677 12.6581
angles: 90.00 90.03 90.00
Element x y z (fractional)
Sr 0.0054 0.0337 0.1747
Sr 0.0054 0.4663 0.6747
Sr 0.9946 0.5337 0.3253
Sr 0.9946 0.9663 0.8253
Th 0.2486 0.5748 0.0088
Th 0.2486 0.9252 0.5088
Th 0.4981 0.5177 0.3202
Th 0.4981 0.9823 0.8202
Th 0.5019 0.0177 0.1798
Th 0.5019 0.4823 0.6798
Th 0.7514 0.0748 0.4912
Th 0.7514 0.4252 0.9912
Se 0.0415 0.1712 0.4107
Se 0.0415 0.3288 0.9107
Se 0.2645 0.6984 0.7831
Se 0.2645 0.8016 0.2831
Se 0.2760 0.1727 0.6848
Se 0.2760 0.3273 0.1848
Se 0.2785 0.5427 0.5016
Se 0.2785 0.9573 0.0016
Se 0.4562 0.1605 0.3984
Se 0.4562 0.3395 0.8984
Se 0.5438 0.6605 0.1016
Se 0.5438 0.8395 0.6016
Se 0.7215 0.0427 0.9984
Se 0.7215 0.4573 0.4984
Se 0.7240 0.6727 0.8152
Se 0.7240 0.8273 0.3152
Se 0.7355 0.1984 0.7169
Se 0.7355 0.3016 0.2169
Se 0.9585 0.6712 0.0893
Se 0.9585 0.8288 0.5893

Properties
- E: -6.09 eV per atom
- ΔE to the lowest computed polymorph: 0 meV/atom
- Formation energy (no corrections): -14.81 eV/f.u.

# 6
Below is a relaxed structure of SrThSe3, with properties calculated at the PBE level.

abc: 8.0070 4.3730 16.6791
angles: 90.00 90.00 90.00
Element x y z (fractional)
Sr 0.1211 0.2500 0.2097
Sr 0.3789 0.7500 0.7097
Sr 0.6211 0.2500 0.2903
Sr 0.8789 0.7500 0.7903
Th 0.2396 0.7500 0.4571
Th 0.2604 0.2500 0.9571
Th 0.7396 0.7500 0.0429
Th 0.7604 0.2500 0.5429
Se 0.0128 0.2500 0.4046
Se 0.1273 0.7500 0.0583
Se 0.1666 0.2500 0.7889
Se 0.3334 0.7500 0.2889
Se 0.3727 0.2500 0.5583
Se 0.4872 0.7500 0.9046
Se 0.5128 0.2500 0.0954
Se 0.6273 0.7500 0.4417
Se 0.6666 0.2500 0.7111
Se 0.8334 0.7500 0.2111
Se 0.8727 0.2500 0.9417
Se 0.9872 0.7500 0.5954

Properties
- E: -5.79 eV per atom
- ΔE to the lowest computed polymorph: 0 meV/atom
- Formation energy (no corrections): -9.41 eV/f.u.

# 7
Below is a relaxed structure of Sr2ThSe4, with properties calculated at the PBE level.

abc: 7.6099 7.6099 14.3777
angles: 90.00 90.00 148.33
Element x y z (fractional)
Sr 0.1289 0.8711 0.5690
Sr 0.1289 0.8711 0.9310
Sr 0.8711 0.1289 0.0690
Sr 0.8711 0.1289 0.4310
Th 0.3771 0.6229 0.7500
Th 0.6229 0.3771 0.2500
Se 0.0157 0.9843 0.7500
Se 0.2159 0.7841 0.1294
Se 0.2159 0.7841 0.3706
Se 0.5000 0.5000 0.0000
Se 0.5000 0.5000 0.5000
Se 0.7841 0.2159 0.6294
Se 0.7841 0.2159 0.8706
Se 0.9843 0.0157 0.2500

Properties
- E: -5.37 eV per atom
- ΔE to the lowest computed polymorph: 89 meV/atom
- Formation energy (no corrections): -12.86 eV/f.u.

# 8
Below is a relaxed structure of Sr2ThSe4, with properties calculated at the PBE level.

abc: 7.7485 12.8995 4.4491
angles: 90.00 90.00 90.00
Element x y z (fractional)
Sr 0.0878 0.1844 0.0000
Sr 0.4122 0.6844 0.0000
Sr 0.5878 0.3156 0.0000
Sr 0.9122 0.8156 0.0000
Th 0.0000 0.5000 0.5000
Th 0.5000 0.0000 0.5000
Se 0.1327 0.7088 0.5000
Se 0.2393 0.4543 0.0000
Se 0.2607 0.9543 0.0000
Se 0.3673 0.2088 0.5000
Se 0.6327 0.7912 0.5000
Se 0.7393 0.0457 0.0000
Se 0.7607 0.5457 0.0000
Se 0.8673 0.2912 0.5000

Properties
- E: -5.46 eV per atom
- ΔE to the lowest computed polymorph: 0 meV/atom
- Formation energy (no corrections): -13.49 eV/f.u.

# 9
Below is a relaxed structure of SrTh2Se5, with properties calculated at the PBE level.

abc: 8.7303 8.7303 8.0627
angles: 90.64 90.64 50.21
Element x y z (fractional)
Sr 0.0000 0.5000 0.0000
Sr 0.5000 0.0000 0.5000
Th 0.1508 0.6564 0.4369
Th 0.3436 0.8492 0.0631
Th 0.6564 0.1508 0.9369
Th 0.8492 0.3436 0.5631
Se 0.0475 0.9525 0.7500
Se 0.1191 0.3290 0.3414
Se 0.3181 0.5207 0.1000
Se 0.3290 0.1191 0.8414
Se 0.4793 0.6819 0.4000
Se 0.5207 0.3181 0.6000
Se 0.6710 0.8809 0.1586
Se 0.6819 0.4793 0.9000
Se 0.8809 0.6710 0.6586
Se 0.9525 0.0475 0.2500

Properties
- E: -5.96 eV per atom
- ΔE to the lowest computed polymorph: 139 meV/atom
- Formation energy (no corrections): -13.70 eV/f.u.

# 10
Below is a relaxed structure of SrThSe3, with properties calculated at the PBE level.

abc: 8.3672 8.3672 8.6574
angles: 95.58 95.58 36.41
Element x y z (fractional)
Sr 0.1439 0.1439 0.3717
Sr 0.8561 0.8561 0.6283
Th 0.3734 0.3734 0.0897
Th 0.6266 0.6266 0.9103
Se 0.1783 0.1783 0.0142
Se 0.3356 0.3356 0.4032
Se 0.4509 0.4509 0.7930
Se 0.5491 0.5491 0.2070
Se 0.6644 0.6644 0.5968
Se 0.8217 0.8217 0.9858

Properties
- E: -5.66 eV per atom
- ΔE to the lowest computed polymorph: 132 meV/atom
- Formation energy (no corrections): -8.75 eV/f.u.

# 11
Below is a relaxed structure of Sr2TmThSe4, with properties calculated at the PBE level.

abc: 7.3210 4.1897 7.5200
angles: 90.00 108.55 90.00
Element x y z (fractional)
Sr 0.0000 0.0000 0.0000
Sr 0.5000 0.5000 0.0000
Tm 0.0000 0.5000 0.5000
Th 0.5000 0.0000 0.5000
Se 0.2346 0.0000 0.7298
Se 0.2448 0.5000 0.2625
Se 0.7552 0.5000 0.7375
Se 0.7654 0.0000 0.2702

Properties
- E: -5.41 eV per atom
- Formation energy (no corrections): -14.05 eV/f.u.

# 12
Below is a relaxed structure of SrTi2Se4, with properties calculated at the PBE level.

abc: 6.5121 6.5121 13.2308
angles: 90.00 90.00 145.26
Element x y z (fractional)
Sr 0.1203 0.8797 0.7500
Sr 0.8797 0.1203 0.2500
Ti 0.3772 0.6228 0.5649
Ti 0.3772 0.6228 0.9351
Ti 0.6228 0.3772 0.0649
Ti 0.6228 0.3772 0.4351
Se 0.0000 0.0000 0.0000
Se 0.0000 0.0000 0.5000
Se 0.2659 0.7341 0.1037
Se 0.2659 0.7341 0.3963
Se 0.4282 0.5718 0.7500
Se 0.5718 0.4282 0.2500
Se 0.7341 0.2659 0.6037
Se 0.7341 0.2659 0.8963

Properties
- E: -5.80 eV per atom
- Formation energy (no corrections): -9.22 eV/f.u.

# 13
Below is a relaxed structure of SrTiSe2, with properties calculated at the PBE level.

abc: 9.2214 9.2214 9.2214
angles: 23.99 23.99 23.99
Element x y z (fractional)
Sr 0.0000 0.0000 0.0000
Ti 0.5000 0.5000 0.5000
Se 0.1127 0.1127 0.1127
Se 0.8873 0.8873 0.8873

Properties
- E: -5.09 eV per atom
- ΔE to the lowest computed polymorph: 199 meV/atom
- Formation energy (no corrections): -3.82 eV/f.u.

# 14
Below is a relaxed structure of SrTiSe2, with properties calculated at the PBE level.

abc: 7.8014 7.8014 7.8014
angles: 131.79 131.79 70.57
Element x y z (fractional)
Sr 0.0000 0.0000 0.0000
Sr 0.7500 0.2500 0.5000
Ti 0.2500 0.7500 0.5000
Ti 0.5000 0.5000 0.0000
Se 0.1889 0.6250 0.0639
Se 0.3750 0.4389 0.5639
Se 0.5611 0.1250 0.9361
Se 0.8750 0.8111 0.4361

Properties
- E: -5.29 eV per atom
- ΔE to the lowest computed polymorph: 0 meV/atom
- Formation energy (no corrections): -4.61 eV/f.u.

# 15
Below is a relaxed structure of Sr3TiSe, with properties calculated at the PBE level.

abc: 5.9454 5.9454 5.9454
angles: 90.00 90.00 90.00
Element x y z (fractional)
Sr 0.0000 0.0000 0.5000
Sr 0.0000 0.5000 0.0000
Sr 0.5000 0.0000 0.0000
Ti 0.5000 0.5000 0.5000
Se 0.0000 0.0000 0.0000

Properties
- E: -3.33 eV per atom
- ΔE to the lowest computed polymorph: 0 meV/atom
- Formation energy (no corrections): -0.24 eV/f.u.

# 16
Below is a relaxed structure of SrTi3Se, with properties calculated at the PBE level.

abc: 4.8939 4.8939 4.8939
angles: 90.00 90.00 90.00
Element x y z (fractional)
Sr 0.0000 0.0000 0.0000
Ti 0.0000 0.5000 0.5000
Ti 0.5000 0.0000 0.5000
Ti 0.5000 0.5000 0.0000
Se 0.5000 0.5000 0.5000

Properties
- E: -5.66 eV per atom
- ΔE to the lowest computed polymorph: 0 meV/atom
- Formation energy (no corrections): 0.57 eV/f.u.

# 17
Below is a relaxed structure of SrTiSe3, with properties calculated at the PBE level.

abc: 5.6264 5.6264 5.6264
angles: 90.00 90.00 90.00
Element x y z (fractional)
Sr 0.0000 0.0000 0.0000
Ti 0.5000 0.5000 0.5000
Se 0.0000 0.0000 0.5000
Se 0.0000 0.5000 0.0000
Se 0.5000 0.0000 0.0000

Properties
- E: -3.68 eV per atom
- Formation energy (no corrections): 1.63 eV/f.u.

# 18
Below is a relaxed structure of SrTiSe3, with properties calculated at the PBE level.

abc: 9.3842 8.3711 8.5222
angles: 90.00 117.00 90.00
Element x y z (fractional)
Sr 0.1035 0.2492 0.0521
Sr 0.1035 0.2508 0.5521
Sr 0.8965 0.7492 0.4479
Sr 0.8965 0.7508 0.9479
Ti 0.3090 0.6085 0.4055
Ti 0.3090 0.8915 0.9055
Ti 0.6910 0.1085 0.0945
Ti 0.6910 0.3915 0.5945
Se 0.0188 0.5160 0.2584
Se 0.0188 0.9840 0.7584
Se 0.2821 0.7478 0.6424
Se 0.2821 0.7522 0.1424
Se 0.3857 0.1755 0.9437
Se 0.3857 0.3245 0.4437
Se 0.6143 0.6755 0.5563
Se 0.6143 0.8245 0.0563
Se 0.7179 0.2478 0.8576
Se 0.7179 0.2522 0.3576
Se 0.9812 0.0160 0.2416
Se 0.9812 0.4840 0.7416

Properties
- E: -5.39 eV per atom
- Formation energy (no corrections): -6.92 eV/f.u.

# 19
Below is a relaxed structure of Sr2TiSe4, with properties calculated at the PBE level.

abc: 7.0918 7.0453 8.6651
angles: 90.00 108.03 90.00
Element x y z (fractional)
Sr 0.2167 0.2500 0.0496
Sr 0.2624 0.2500 0.5675
Sr 0.7376 0.7500 0.4325
Sr 0.7833 0.7500 0.9504
Ti 0.2313 0.7500 0.8025
Ti 0.7687 0.2500 0.1975
Se 0.0018 0.5068 0.2608
Se 0.0018 0.9932 0.2608
Se 0.4096 0.7500 0.0837
Se 0.4303 0.7500 0.6250
Se 0.5697 0.2500 0.3750
Se 0.5904 0.2500 0.9163
Se 0.9982 0.0068 0.7392
Se 0.9982 0.4932 0.7392

Properties
- E: -5.22 eV per atom
- Formation energy (no corrections): -11.32 eV/f.u.

# 20
Below is a relaxed structure of SrTi3Se, with properties calculated at the PBE level.

abc: 4.8364 4.8364 4.8364
angles: 90.00 90.00 90.00
Element x y z (fractional)
Sr 0.0000 0.0000 0.0000
Ti 0.0000 0.0000 0.5000
Ti 0.0000 0.5000 0.0000
Ti 0.5000 0.0000 0.0000
Se 0.5000 0.5000 0.5000

Properties
- E: -3.92 eV per atom
- ΔE to the lowest computed polymorph: 1740 meV/atom
- Formation energy (no corrections): 9.27 eV/f.u.